# 1
Density functional theory data (PBE) for CaAl2Se after structural relaxation.

Lattice parameters (Å, degrees): 9.435 3.662 5.514 90.00 104.92 90.00
Space group Cm (No. 8)
Symmetry-distinct sites (fractional):
Ca  0.000  0.000  0.000
Al  0.265  0.500  0.368
Al  0.494  0.000  0.481
Se  0.254  0.000  0.723

Results
DOS(E_F) = 1.3 states/eV/f.u.
Raw formation energy = -0.389 eV per atom
Total magnetic moment = 0.00 μB/f.u.

=====

# 2
Density functional theory data (PBE) for CaAl2Se after structural relaxation.

Lattice parameters (Å, degrees): 4.241 4.529 9.177 90.00 90.00 90.00
Space group Imm2 (No. 44)
Symmetry-distinct sites (fractional):
Ca  0.000  0.000  0.000
Al  0.000  0.000  0.451
Al  0.000  0.500  0.241
Se  0.000  0.500  0.751

Results
DOS(E_F) = 1.1 states/eV/f.u.
Raw formation energy = -0.346 eV per atom
Total magnetic moment = 0.00 μB/f.u.

=====

# 3
Density functional theory data (PBE) for CaAl2Se after structural relaxation.

Lattice parameters (Å, degrees): 8.202 8.202 5.724 90.00 90.00 90.00
Space group I-42d (No. 122)
Symmetry-distinct sites (fractional):
Ca  0.000  0.000  0.000
Al  0.210  0.250  0.625
Se  0.000  0.000  0.500

Results
DOS(E_F) = 2.3 states/eV/f.u.
Raw formation energy = -0.309 eV per atom
Total magnetic moment = 0.00 μB/f.u.

=====

# 4
Density functional theory data (PBE) for CaAl2Se after structural relaxation.

Lattice parameters (Å, degrees): 5.700 11.365 3.986 90.00 133.67 90.00
Space group C2/m (No. 12)
Symmetry-distinct sites (fractional):
Ca  0.000  0.000  0.000
Al  0.250  0.250  0.500
Se  0.000  0.500  0.000

Results
DOS(E_F) = 1.5 states/eV/f.u.
Raw formation energy = -0.510 eV per atom
Total magnetic moment = 0.00 μB/f.u.